(1)
Material: HfRuF3
Method: DFT, PBE-GGA
State: relaxed

Lattice parameters (Å, degrees): 4.2177 4.2177 4.2177 90.00 90.00 90.00
Closest atoms and distances in Å follow each position.
Atoms (fractional coordinates):
1 F 0.0000 0.0000 0.5000  2 Ru 2.11
2 F 0.0000 0.5000 0.0000  2 Ru 2.11
3 F 0.5000 0.0000 0.0000  2 Ru 2.11
4 Ru 0.0000 0.0000 0.0000  6 F 2.11
5 Hf 0.5000 0.5000 0.5000  12 F 2.98

Calculated values
Symmetry: Pm-3m, No. 221
Formation energy (no corrections), eV per atom: -0.3955
Energy above the lowest structure with this stoichiometry, eV per atom: 1.017

(2)
Material: HfRuF3
Method: DFT, PBE-GGA
State: relaxed

Lattice parameters (Å, degrees): 4.2105 4.2105 4.2105 90.00 90.00 90.00
Closest atoms and distances in Å follow each position.
Atoms (fractional coordinates):
1 F 0.5000 0.0000 0.0000  2 Hf 2.11
2 F 0.0000 0.0000 0.5000  2 Hf 2.11
3 F 0.0000 0.5000 0.0000  2 Hf 2.11
4 Hf 0.0000 0.0000 0.0000  6 F 2.11
5 Ru 0.5000 0.5000 0.5000  12 F 2.98

Calculated values
Symmetry: Pm-3m, No. 221
Formation energy (no corrections), eV per atom: -1.4129
Energy above the lowest structure with this stoichiometry, eV per atom: 0.000

(3)
Material: HfRu2F
Method: DFT, PBE-GGA
State: relaxed

Lattice parameters (Å, degrees): 4.3979 4.3979 4.3979 60.00 60.00 60.00
Closest atoms and distances in Å follow each position.
Atoms (fractional coordinates):
1 Ru 0.7500 0.7500 0.7500  4 Hf 2.69, 4 F 2.69
2 Ru 0.2500 0.2500 0.2500  4 Hf 2.69, 4 F 2.69
3 F 0.0000 0.0000 0.0000  8 Ru 2.69
4 Hf 0.5000 0.5000 0.5000  8 Ru 2.69

Calculated values
Symmetry: Fm-3m, No. 225
Formation energy (no corrections), eV per atom: 0.0389
Energy above the lowest structure with this stoichiometry, eV per atom: 0.212

(4)
Material: HfRuF2
Method: DFT, PBE-GGA
State: relaxed

Lattice parameters (Å, degrees): 3.7601 3.7601 8.1659 76.69 76.69 90.00
Closest atoms and distances in Å follow each position.
Atoms (fractional coordinates):
1 F 0.0910 0.6250 0.2500  2 Hf 2.30, 2 Ru 2.40, 2 F 2.48
2 F 0.6590 0.1250 0.2500  2 Hf 2.30, 2 Ru 2.40, 2 F 2.48
3 F 0.3750 0.3410 0.7500  2 Hf 2.30, 2 Ru 2.40, 2 F 2.48
4 F 0.8750 0.9090 0.7500  2 Hf 2.30, 2 Ru 2.40, 2 F 2.48
5 Ru 0.2500 0.7500 0.5000  4 F 2.40, 4 Hf 2.66
6 Ru 0.5000 0.5000 0.0000  4 F 2.40, 4 Hf 2.66
7 Hf 0.7500 0.2500 0.5000  4 F 2.30
8 Hf 0.0000 0.0000 0.0000  4 F 2.30

Calculated values
Symmetry: I-42d, No. 122
Formation energy (no corrections), eV per atom: -1.3292
Energy above the lowest structure with this stoichiometry, eV per atom: 0.000

(5)
Material: HfRuF2
Method: DFT, PBE-GGA
State: relaxed

Lattice parameters (Å, degrees): 4.5178 4.5178 4.5178 56.05 56.05 56.05
Closest atoms and distances in Å follow each position.
Atoms (fractional coordinates):
1 F 0.8206 0.8206 0.8206  1 Hf 2.04
2 F 0.1794 0.1794 0.1794  1 Hf 2.04
3 Ru 0.5000 0.5000 0.5000  6 F 2.46
4 Hf 0.0000 0.0000 0.0000  2 F 2.04

Calculated values
Symmetry: R-3m, No. 166
Formation energy (no corrections), eV per atom: -0.8261
Energy above the lowest structure with this stoichiometry, eV per atom: 0.503

(6)
Material: HfRuF2
Method: DFT, PBE-GGA
State: relaxed

Lattice parameters (Å, degrees): 9.4603 9.4603 9.4603 17.12 17.12 17.12
Closest atoms and distances in Å follow each position.
Atoms (fractional coordinates):
1 F 0.8884 0.8884 0.8884  3 Hf 2.24
2 F 0.1116 0.1116 0.1116  3 Hf 2.24
3 Hf 0.5000 0.5000 0.5000  6 F 2.24
4 Ru 0.0000 0.0000 0.0000  6 Ru 2.82, 2 F 3.12

Calculated values
Symmetry: R-3m, No. 166
Formation energy (no corrections), eV per atom: -1.2679
Energy above the lowest structure with this stoichiometry, eV per atom: 0.061

(7)
Material: HfRuF2
Method: DFT, PBE-GGA
State: relaxed

Lattice parameters (Å, degrees): 4.2353 4.2353 4.2353 60.00 60.00 60.00
Closest atoms and distances in Å follow each position.
Atoms (fractional coordinates):
1 Hf 0.5000 0.5000 0.5000  8 F 2.59
2 F 0.2500 0.2500 0.2500  4 Hf 2.59, 4 Ru 2.59
3 F 0.7500 0.7500 0.7500  4 Ru 2.59, 4 Hf 2.59
4 Ru 0.0000 0.0000 0.0000  8 F 2.59

Calculated values
Symmetry: Fm-3m, No. 225
Formation energy (no corrections), eV per atom: -0.6114
Energy above the lowest structure with this stoichiometry, eV per atom: 0.718

(8)
Material: HfSc2RuF
Method: DFT, PBE-GGA
State: relaxed

Lattice parameters (Å, degrees): 5.0803 4.9184 5.0803 90.00 90.00 90.00
Closest atoms and distances in Å follow each position.
Atoms (fractional coordinates):
1 Sc 0.0000 0.0000 0.5000  2 Ru 2.54
2 Sc 0.5000 0.0000 0.0000  2 Ru 2.54
3 Hf 0.0000 0.5000 0.0000  2 Ru 2.46
4 Ru 0.0000 0.0000 0.0000  2 Hf 2.46, 4 Sc 2.54
5 F 0.5000 0.5000 0.5000  8 Sc 3.54, 4 Hf 3.59

Calculated values
Symmetry: P4/mmm, No. 123
Formation energy (no corrections), eV per atom: -0.1755

(9)
Material: HfScRuF2
Method: DFT, PBE-GGA
State: relaxed

Lattice parameters (Å, degrees): 4.2267 5.0671 4.2267 90.00 90.00 90.00
Closest atoms and distances in Å follow each position.
Atoms (fractional coordinates):
1 Sc 0.0000 0.5000 0.0000  2 Ru 2.53
2 F 0.5000 0.0000 0.0000  2 Ru 2.11
3 F 0.0000 0.0000 0.5000  2 Ru 2.11
4 Hf 0.5000 0.5000 0.5000  4 Sc 2.99, 8 F 3.30
5 Ru 0.0000 0.0000 0.0000  4 F 2.11

Calculated values
Symmetry: P4/mmm, No. 123
Formation energy (no corrections), eV per atom: -0.1286

(10)
Material: HfSn2RuF
Method: DFT, PBE-GGA
State: relaxed

Lattice parameters (Å, degrees): 5.3199 5.1445 5.3199 90.00 90.00 90.00
Closest atoms and distances in Å follow each position.
Atoms (fractional coordinates):
1 Ru 0.0000 0.0000 0.0000  2 Hf 2.57, 4 Sn 2.66
2 Sn 0.5000 0.0000 0.0000  2 Ru 2.66
3 Sn 0.0000 0.0000 0.5000  2 Ru 2.66
4 Hf 0.0000 0.5000 0.0000  2 Ru 2.57
5 F 0.5000 0.5000 0.5000  8 Sn 3.70, 4 Hf 3.76

Calculated values
Symmetry: P4/mmm, No. 123
Formation energy (no corrections), eV per atom: -0.1227

(11)
Material: Hf2TeRuF
Method: DFT, PBE-GGA
State: relaxed

Lattice parameters (Å, degrees): 5.3406 3.9830 5.3406 90.00 90.00 90.00
Closest atoms and distances in Å follow each position.
Atoms (fractional coordinates):
1 Te 0.0000 0.0000 0.0000  2 F 1.99
2 F 0.0000 0.5000 0.0000  2 Te 1.99
3 Hf 0.5000 0.0000 0.0000  2 Te 2.67
4 Hf 0.0000 0.0000 0.5000  2 Te 2.67
5 Ru 0.5000 0.5000 0.5000  8 Hf 3.33

Calculated values
Symmetry: P4/mmm, No. 123
Formation energy (no corrections), eV per atom: 0.5414

(12)
Material: HfS3F
Method: DFT, PBE-GGA
State: relaxed

Lattice parameters (Å, degrees): 4.3258 4.3258 4.3258 90.00 90.00 90.00
Closest atoms and distances in Å follow each position.
Atoms (fractional coordinates):
1 S 0.5000 0.0000 0.0000  2 F 2.16
2 S 0.0000 0.0000 0.5000  2 F 2.16
3 S 0.0000 0.5000 0.0000  2 F 2.16
4 Hf 0.5000 0.5000 0.5000  12 S 3.06
5 F 0.0000 0.0000 0.0000  6 S 2.16

Calculated values
Symmetry: Pm-3m, No. 221
Formation energy (no corrections), eV per atom: 0.2255
Energy above the lowest structure with this stoichiometry, eV per atom: 0.617

Among the records above, which one has the highest formation energy (no corrections)? Hf2TeRuF